No. 1
Density functional theory data (PBE) for an optimized crystal structure of Mg2SCl.

Properties
* total magnetic moment: 0.00 μB per cell
* theoretical density: 2.647 g cm⁻³
* energy relative to the elements, uncorrected: -0.79 eV per atom
* DOS at the Fermi energy: 0.363 states/eV/atom
* E: -12.32 eV/cell

a b c (Å): 4.688 4.688 4.688
angles (deg): 60.00 60.00 60.00
Element x y z (fractional)
Mg 0.250 0.250 0.250
Mg 0.750 0.750 0.750
S 0.000 0.000 0.000
Cl 0.500 0.500 0.500

---

No. 2
Density functional theory data (PBE) for an optimized crystal structure of CeScZn.

Properties
* total magnetic moment: 0.72 μB per cell
* theoretical density: 6.068 g cm⁻³
* ΔH_f (0 K): -0.13 eV/atom
* DOS at the Fermi energy: 2.176 states/eV/atom
* E: -13.94 eV/cell

a b c (Å): 6.896 6.896 6.896
angles (deg): 152.77 152.77 38.89
Element x y z (fractional)
Ce 0.000 0.000 0.000
Sc 0.303 0.303 0.000
Zn 0.668 0.668 0.000